Record 1
Below is crystalline P2AuCl at its relaxed geometry, with properties calculated at the GGA-PBEsol level.

**D(E_F)**: 4.01 states/eV/cell
**Uncorrected energy**: -32.48 eV/cell
**Raw formation energy**: 0.319 eV/atom
**ΔE to the lowest computed polymorph**: 0 kJ/mol of formula units
**Spin magnetization**: 0.0 μB per cell

Lattice parameters (Å, degrees): 3.315 6.774 7.410 90.00 90.00 90.00
Space group Cmm2 (No. 35)
Unique sites:
1 P 0.000 0.000 0.000
2 P 0.000 0.500 0.191
3 Au 0.000 0.000 0.434
4 Cl 0.000 0.500 0.693

=====

Record 2
Below is crystalline MoIrRh2 at its relaxed geometry, with properties calculated at the GGA-PBEsol level.

**D(E_F)**: 7.93 states/eV/cell
**Uncorrected energy**: -77.29 eV/cell
**ΔE to the lowest computed polymorph**: 17 kJ/mol of formula units
**Spin magnetization**: 0.0 μB per cell
**Formation enthalpy at 0 K**: -0.194 eV per atom

Lattice parameters (Å, degrees): 3.813 3.813 7.684 90.00 90.00 90.00
Space group I4/mmm (No. 139)
Unique sites:
1 Mo 0.000 0.000 0.000
2 Ir 0.000 0.000 0.500
3 Rh 0.000 0.500 0.250

=====

Record 3
Below is crystalline KZn2Si at its relaxed geometry, with properties calculated at the GGA-PBEsol level.

**D(E_F)**: 3.17 states/eV/cell
**Uncorrected energy**: -19.31 eV/cell
**Raw formation energy**: 0.098 eV/atom
**Spin magnetization**: 0.0 μB per cell

Lattice parameters (Å, degrees): 7.276 4.237 6.522 90.00 112.19 90.00
Space group C2/m (No. 12)
Unique sites:
1 K 0.000 0.000 0.000
2 Zn 0.199 0.000 0.599
3 Si 0.000 0.500 0.500

=====

Record 4
Below is crystalline PrCr2B6 at its relaxed geometry, with properties calculated at the GGA-PBEsol level.

**D(E_F)**: 8.65 states/eV/cell
**Uncorrected energy**: -146.03 eV/cell
**Spin magnetization**: 0.0 μB per cell
**Formation enthalpy at 0 K**: -0.583 eV per atom

Lattice parameters (Å, degrees): 3.085 6.527 8.317 90.00 90.00 90.00
Space group Immm (No. 71)
Unique sites:
1 Pr 0.000 0.000 0.000
2 Cr 0.000 0.500 0.154
3 B 0.000 0.138 0.500
4 B 0.000 0.234 0.302

=====

Repeat the second record exactly.
Below is crystalline MoIrRh2 at its relaxed geometry, with properties calculated at the GGA-PBEsol level.

**D(E_F)**: 7.93 states/eV/cell
**Uncorrected energy**: -77.29 eV/cell
**ΔE to the lowest computed polymorph**: 17 kJ/mol of formula units
**Spin magnetization**: 0.0 μB per cell
**Formation enthalpy at 0 K**: -0.194 eV per atom

Lattice parameters (Å, degrees): 3.813 3.813 7.684 90.00 90.00 90.00
Space group I4/mmm (No. 139)
Unique sites:
1 Mo 0.000 0.000 0.000
2 Ir 0.000 0.000 0.500
3 Rh 0.000 0.500 0.250

=====

Q: What is the D(E_F) in the second record?
A: 7.93 states/eV/cell

=====

Please write out number 4 again, unchanged.
Below is crystalline PrCr2B6 at its relaxed geometry, with properties calculated at the GGA-PBEsol level.

**D(E_F)**: 8.65 states/eV/cell
**Uncorrected energy**: -146.03 eV/cell
**Spin magnetization**: 0.0 μB per cell
**Formation enthalpy at 0 K**: -0.583 eV per atom

Lattice parameters (Å, degrees): 3.085 6.527 8.317 90.00 90.00 90.00
Space group Immm (No. 71)
Unique sites:
1 Pr 0.000 0.000 0.000
2 Cr 0.000 0.500 0.154
3 B 0.000 0.138 0.500
4 B 0.000 0.234 0.302